No. 1
Below is InAsP2Cl after structural relaxation, with properties calculated at the PBEsol level.

Output
Raw formation energy in meV per atom: 470.9

a b c (Å): 4.7422 4.7422 4.9307
angles (deg): 90.00 90.00 90.00
Space group P4/mmm (No. 123)
One atom of each set of equivalent atoms:
1 In 0.0000 0.0000 0.0000
2 As 0.5000 0.5000 0.5000
3 P 0.0000 0.5000 0.5000
4 Cl 0.5000 0.5000 0.0000

---

No. 2
Below is AsIr3Cl after structural relaxation, with properties calculated at the PBEsol level.

Output
Raw formation energy in meV per atom: 1590.4

a b c (Å): 4.5771 4.5771 4.5771
angles (deg): 90.00 90.00 90.00
Space group Pm-3m (No. 221)
One atom of each set of equivalent atoms:
1 As 0.0000 0.0000 0.0000
2 Ir 0.0000 0.0000 0.5000
3 Cl 0.5000 0.5000 0.5000

---

No. 3
Below is NaAs2IrCl after structural relaxation, with properties calculated at the PBEsol level.

Output
Raw formation energy in meV per atom: 33.5

a b c (Å): 4.5609 4.5609 7.6773
angles (deg): 90.00 90.00 90.00
Space group P4/mmm (No. 123)
One atom of each set of equivalent atoms:
1 Na 0.0000 0.0000 0.0000
2 As 0.0000 0.5000 0.5000
3 Ir 0.5000 0.5000 0.5000
4 Cl 0.5000 0.5000 0.0000